(1)
# KFeS2 | the Alexandria database | meta-GGA SCAN | single point on PBEsol structure
data_KFeS2
_cell_length_a 6.6896
_cell_length_b 6.6896
_cell_length_c 7.6405
_cell_angle_alpha 90.00
_cell_angle_beta 90.00
_cell_angle_gamma 90.00
_space_group_name_H-M_alt 'I -4 2 d'
_space_group_IT_number 122
_space_group_name_Hall 'I -4 2bw'
loop_
_atom_site_label
_atom_site_type_symbol
_atom_site_fract_x
_atom_site_fract_y
_atom_site_fract_z
K1 K 0.0000 0.0000 0.0000
Fe1 Fe 0.0000 0.0000 0.5000
S1 S 0.1232 0.2500 0.6250
# Volume: 85 Å³/f.u.
# Energy relative to the elements, uncorrected: -2.9 eV per formula unit
# Spin magnetization: 0.001 μB/atom
# DOS(E_F): 0.626 states/eV/atom



(2)
# KFe2S2 | the Alexandria database | meta-GGA SCAN | single point on PBEsol structure
data_KFe2S2
_cell_length_a 3.6256
_cell_length_b 3.6256
_cell_length_c 12.4827
_cell_angle_alpha 90.00
_cell_angle_beta 90.00
_cell_angle_gamma 90.00
_space_group_name_H-M_alt 'I 4/m m m'
_space_group_IT_number 139
_space_group_name_Hall '-I 4 2'
loop_
_atom_site_label
_atom_site_type_symbol
_atom_site_fract_x
_atom_site_fract_y
_atom_site_fract_z
K1 K 0.0000 0.0000 0.0000
Fe1 Fe 0.0000 0.5000 0.2500
S1 S 0.0000 0.0000 0.3434
# Volume: 82 Å³/f.u.
# Energy relative to the elements, uncorrected: -3.2 eV per formula unit
# Spin magnetization: 0.000 μB/atom
# DOS(E_F): 0.320 states/eV/atom



(3)
# KFeSb2 | the Alexandria database | meta-GGA SCAN | single point on PBEsol structure
data_KFeSb2
_cell_length_a 3.3442
_cell_length_b 3.3442
_cell_length_c 9.6001
_cell_angle_alpha 90.00
_cell_angle_beta 90.00
_cell_angle_gamma 90.00
_space_group_name_H-M_alt 'P 4 m m'
_space_group_IT_number 99
_space_group_name_Hall 'P 4 -2'
loop_
_atom_site_label
_atom_site_type_symbol
_atom_site_fract_x
_atom_site_fract_y
_atom_site_fract_z
K1 K 0.0000 0.0000 0.0000
Fe1 Fe 0.5000 0.5000 0.5287
Sb1 Sb 0.0000 0.0000 0.6473
Sb2 Sb 0.5000 0.5000 0.2673
# Volume: 107 Å³/f.u.
# Energy relative to the elements, uncorrected: 0.5 eV per formula unit
# Spin magnetization: 0.767 μB/atom
# DOS(E_F): 0.588 states/eV/atom



(4)
# K2FeSb | the Alexandria database | meta-GGA SCAN | single point on PBEsol structure
data_K2FeSb
_cell_length_a 4.7033
_cell_length_b 5.9509
_cell_length_c 9.8546
_cell_angle_alpha 90.00
_cell_angle_beta 90.00
_cell_angle_gamma 90.00
_space_group_name_H-M_alt 'I m m 2'
_space_group_IT_number 44
_space_group_name_Hall 'I 2 -2'
loop_
_atom_site_label
_atom_site_type_symbol
_atom_site_fract_x
_atom_site_fract_y
_atom_site_fract_z
K1 K 0.0000 0.0000 0.0000
K2 K 0.0000 0.5000 0.1877
Fe1 Fe 0.0000 0.0000 0.3707
Sb1 Sb 0.0000 0.5000 0.7936
# Volume: 138 Å³/f.u.
# Energy relative to the elements, uncorrected: -0.2 eV per formula unit
# Spin magnetization: 0.751 μB/atom



(5)
# KFe2Sb | the Alexandria database | meta-GGA SCAN | single point on PBEsol structure
data_KFe2Sb
_cell_length_a 3.1513
_cell_length_b 3.1513
_cell_length_c 8.0568
_cell_angle_alpha 90.00
_cell_angle_beta 90.00
_cell_angle_gamma 90.00
_space_group_name_H-M_alt 'P 4 m m'
_space_group_IT_number 99
_space_group_name_Hall 'P 4 -2'
loop_
_atom_site_label
_atom_site_type_symbol
_atom_site_fract_x
_atom_site_fract_y
_atom_site_fract_z
K1 K 0.0000 0.0000 0.0000
Fe1 Fe 0.0000 0.0000 0.5461
Fe2 Fe 0.5000 0.5000 0.6722
Sb1 Sb 0.5000 0.5000 0.3458
# Volume: 80 Å³/f.u.
# Energy relative to the elements, uncorrected: 1.2 eV per formula unit
# Spin magnetization: 1.366 μB/atom
# DOS(E_F): 0.677 states/eV/atom



(6)
# KFe2Sb | the Alexandria database | meta-GGA SCAN | single point on PBEsol structure
data_KFe2Sb
_cell_length_a 6.6440
_cell_length_b 6.6440
_cell_length_c 6.6440
_cell_angle_alpha 90.00
_cell_angle_beta 90.00
_cell_angle_gamma 90.00
_space_group_name_H-M_alt 'F m -3 m'
_space_group_IT_number 225
_space_group_name_Hall '-F 4 2 3'
loop_
_atom_site_label
_atom_site_type_symbol
_atom_site_fract_x
_atom_site_fract_y
_atom_site_fract_z
K1 K 0.0000 0.0000 0.0000
Fe1 Fe 0.2500 0.2500 0.2500
Sb1 Sb 0.0000 0.0000 0.5000
# Volume: 73 Å³/f.u.
# Energy relative to the elements, uncorrected: 3.1 eV per formula unit
# Spin magnetization: 1.544 μB/atom
# DOS(E_F): 0.790 states/eV/atom



(7)
# KFeSb | the Alexandria database | meta-GGA SCAN | single point on PBEsol structure
data_KFeSb
_cell_length_a 3.2273
_cell_length_b 3.7793
_cell_length_c 12.2408
_cell_angle_alpha 90.00
_cell_angle_beta 90.00
_cell_angle_gamma 90.00
_space_group_name_H-M_alt 'I m m 2'
_space_group_IT_number 44
_space_group_name_Hall 'I 2 -2'
loop_
_atom_site_label
_atom_site_type_symbol
_atom_site_fract_x
_atom_site_fract_y
_atom_site_fract_z
K1 K 0.0000 0.0000 0.0000
Fe1 Fe 0.0000 0.0000 0.2775
Sb1 Sb 0.0000 0.0000 0.7196
# Volume: 75 Å³/f.u.
# Energy relative to the elements, uncorrected: 0.6 eV per formula unit
# Spin magnetization: 0.666 μB/atom
# DOS(E_F): 0.315 states/eV/atom



(8)
# K2FeSb | the Alexandria database | meta-GGA SCAN | single point on PBEsol structure
data_K2FeSb
_cell_length_a 6.2654
_cell_length_b 6.2654
_cell_length_c 3.0725
_cell_angle_alpha 90.00
_cell_angle_beta 90.00
_cell_angle_gamma 90.00
_space_group_name_H-M_alt 'P 4/m m m'
_space_group_IT_number 123
_space_group_name_Hall '-P 4 2'
loop_
_atom_site_label
_atom_site_type_symbol
_atom_site_fract_x
_atom_site_fract_y
_atom_site_fract_z
K1 K 0.0000 0.5000 0.0000
Fe1 Fe 0.0000 0.0000 0.5000
Sb1 Sb 0.5000 0.5000 0.5000
# Volume: 121 Å³/f.u.
# Energy relative to the elements, uncorrected: 2.0 eV per formula unit
# Spin magnetization: 0.870 μB/atom
# DOS(E_F): 0.685 states/eV/atom



> spin magnetization of number 5 (KFe2Sb)?

1.366 μB/atom